Pu4PtAu: optimized geometry, PBE-GGA.

The structure belongs to space group I4_1/amd (No. 141, origin choice 2); the cell edges are 4.907, 4.907 and 19.968 Å and the angles 90.00°, 90.00° and 90.00°. The asymmetric unit holds Pu at (0.250, 0.000, 0.000), Pt at (0.000, 0.250, 0.375) and Au at (0.000, 0.250, 0.875).

The value obtained for the total energy is -10.48 eV/atom. The energy of formation is 0.626 eV per atom. Its magnetic moment is 0.0 μB per formula unit.

=====

Pu6PtAu5: optimized geometry, PBE-GGA.

The structure belongs to space group P-1 (No. 2); the cell edges are 5.072, 7.396 and 8.780 Å and the angles 65.21°, 73.37° and 90.00°. The asymmetric unit holds Pu at (0.008, 0.242, 0.483), Pu at (0.338, 0.592, 0.828), Pu at (0.344, 0.083, 0.816), Pt at (0.500, 0.000, 0.500), Au at (0.163, 0.678, 0.169), Au at (0.175, 0.166, 0.146) and Au at (0.500, 0.500, 0.500).

The value obtained for the total energy is -9.47 eV/atom. The energy of formation is -0.439 eV per atom. Its magnetic moment is 11.7 μB per formula unit.

=====

PuPt4Au: optimized geometry, PBE-GGA.

The structure belongs to space group F-43m (No. 216); the cell edges are 7.586, 7.586 and 7.586 Å and the angles 90.00°, 90.00° and 90.00°. The asymmetric unit holds Pu at (0.000, 0.000, 0.000), Pt at (0.125, 0.125, 0.625) and Au at (0.250, 0.250, 0.250).

The value obtained for the total energy is -7.50 eV/atom. The energy of formation is -0.538 eV per atom. Its magnetic moment is 3.9 μB per formula unit.

=====

Pu5Pt2Au: optimized geometry, PBE-GGA.

The structure belongs to space group Pbam (No. 55); the cell edges are 6.084, 11.808 and 5.190 Å and the angles 90.00°, 90.00° and 90.00°. The asymmetric unit holds Pu at (0.000, 0.000, 0.000), Pu at (0.118, 0.376, 0.500), Pu at (0.195, 0.737, 0.000), Pt at (0.105, 0.127, 0.500) and Au at (0.000, 0.500, 0.000).

The value obtained for the total energy is -11.28 eV/atom. The energy of formation is -0.404 eV per atom. Its magnetic moment is 29.0 μB per formula unit.

=====

Pu7Pt2Au2: optimized geometry, PBE-GGA.

The structure belongs to space group Cmmm (No. 65); the cell edges are 8.124, 10.925 and 6.641 Å and the angles 90.00°, 90.00° and 90.00°. The asymmetric unit holds Pu at (0.000, 0.000, 0.000), Pu at (0.000, 0.500, 0.272), Pu at (0.250, 0.250, 0.284), Pt at (0.000, 0.287, 0.000) and Au at (0.170, 0.000, 0.500).

The value obtained for the total energy is -11.02 eV/atom. The energy of formation is -0.209 eV per atom. Its magnetic moment is 17.2 μB per formula unit.

=====

Pu2PtAu3: optimized geometry, PBE-GGA.

The structure belongs to space group Pmm2 (No. 25); the cell edges are 3.046, 4.871 and 8.434 Å and the angles 90.00°, 90.00° and 90.00°. The asymmetric unit holds Pu at (0.000, 0.000, 0.000), Pu at (0.000, 0.500, 0.479), Pt at (0.500, 0.000, 0.323), Au at (0.500, 0.000, 0.656), Au at (0.500, 0.500, 0.154) and Au at (0.500, 0.500, 0.821).

The value obtained for the total energy is -7.94 eV/atom. The energy of formation is -0.515 eV per atom. Its magnetic moment is 11.4 μB per formula unit.

=====

Pu5Pt2Au4: optimized geometry, PBE-GGA.

The structure belongs to space group Pbam (No. 55); the cell edges are 7.754, 17.665 and 3.654 Å and the angles 90.00°, 90.00° and 90.00°. The asymmetric unit holds Pu at (0.000, 0.000, 0.000), Pu at (0.121, 0.426, 0.000), Pu at (0.234, 0.214, 0.000), Pt at (0.029, 0.305, 0.500), Au at (0.083, 0.854, 0.500) and Au at (0.218, 0.567, 0.500).

The value obtained for the total energy is -9.34 eV/atom. The energy of formation is -0.539 eV per atom. Its magnetic moment is 16.4 μB per formula unit.

=====

Pu6Pt3Au: optimized geometry, PBE-GGA.

The structure belongs to space group P2_1/c (No. 14); the cell edges are 7.740, 7.393 and 10.999 Å and the angles 90.00°, 133.37° and 90.00°. The asymmetric unit holds Pu at (0.002, 0.148, 0.282), Pu at (0.343, 0.691, 0.125), Pu at (0.418, 0.137, 0.042), Pt at (0.192, 0.149, 0.656), Pt at (0.500, 0.000, 0.500) and Au at (0.000, 0.000, 0.000).

The value obtained for the total energy is -11.09 eV/atom. The energy of formation is -0.348 eV per atom. Its magnetic moment is 11.8 μB per formula unit.

=====

Pu4PtRh2Au: optimized geometry, PBE-GGA.

The structure belongs to space group R-3m (No. 166, hexagonal axes); the cell edges are 4.9642, 4.9642 and 24.1308 Å and the angles 90.00°, 90.00° and 120.00°. The asymmetric unit holds Pu at (0.0000, 0.0000, 0.1215), Pu at (0.0000, 0.0000, 0.3713), Pt at (0.0000, 0.0000, 0.0000), Rh at (0.0000, 0.0000, 0.2481) and Au at (0.0000, 0.0000, 0.5000).

The value obtained for the total energy is -10.64 eV/atom. The energy of formation is -0.473 eV per atom. Its magnetic moment is 21.5 μB per formula unit.

=====

Pu4RuPt2Au: optimized geometry, PBE-GGA.

The structure belongs to space group R-3m (No. 166, hexagonal axes); the cell edges are 4.9691, 4.9691 and 24.1952 Å and the angles 90.00°, 90.00° and 120.00°. The asymmetric unit holds Pu at (0.0000, 0.0000, 0.1186), Pu at (0.0000, 0.0000, 0.3698), Ru at (0.0000, 0.0000, 0.0000), Pt at (0.0000, 0.0000, 0.2486) and Au at (0.0000, 0.0000, 0.5000).

The value obtained for the total energy is -10.73 eV/atom. The energy of formation is -0.487 eV per atom. Its magnetic moment is 21.3 μB per formula unit.

=====

PuRuPtAu: optimized geometry, PBE-GGA.

The structure belongs to space group F-43m (No. 216); the cell edges are 6.621, 6.621 and 6.621 Å and the angles 90.00°, 90.00° and 90.00°. The asymmetric unit holds Pu at (0.000, 0.000, 0.000), Ru at (0.250, 0.250, 0.250), Pt at (0.250, 0.250, 0.750) and Au at (0.000, 0.000, 0.500).

The value obtained for the total energy is -8.47 eV/atom. The energy of formation is -0.234 eV per atom. Its magnetic moment is 3.8 μB per formula unit.

=====

PuSbPtAu: optimized geometry, PBE-GGA.

The structure belongs to space group F-43m (No. 216); the cell edges are 7.005, 7.005 and 7.005 Å and the angles 90.00°, 90.00° and 90.00°. The asymmetric unit holds Pu at (0.000, 0.000, 0.000), Sb at (0.000, 0.000, 0.500), Pt at (0.250, 0.250, 0.750) and Au at (0.250, 0.250, 0.250).

The value obtained for the total energy is -7.40 eV/atom. Its magnetic moment is 5.3 μB per formula unit. The value obtained for the raw formation energy is -0.46 eV per atom.

=====

Among the records above, which one has the highest magnetic moment?
Pu5Pt2Au